! LaMgTc2 | Alexandria via LeMat-Bulk | PBE | optimized geometry; values from VASP
! ΔH_f (0 K) in meV/atom: 228
&SYSTEM
  ibrav = 0, nat = 4, ntyp = 3
/
ATOMIC_SPECIES
Tc 98.00 Tc.upf
La 138.91 La.upf
Mg 24.30 Mg.upf
ATOMIC_POSITIONS crystal
Tc 0.000 0.010 0.048
Tc 0.500 0.258 0.183
La 0.000 0.497 0.457
Mg 0.500 0.735 0.812
CELL_PARAMETERS angstrom
4.029 0.000 0.000
0.000 3.047 0.019
0.000 1.763 6.967



! Be2CdBr | Alexandria via LeMat-Bulk | PBE | optimized geometry; values from VASP
! Polymorph energy (0 for the lowest one) in meV/atom: 437
&SYSTEM
  ibrav = 0, nat = 4, ntyp = 3
/
ATOMIC_SPECIES
Br 79.90 Br.upf
Cd 112.41 Cd.upf
Be 9.01 Be.upf
ATOMIC_POSITIONS crystal
Br 0.500 0.500 0.000
Cd 0.750 0.250 0.500
Be 0.250 0.750 0.500
Be 0.000 0.000 0.000
CELL_PARAMETERS angstrom
-1.863 -4.327 4.878
-0.582 -6.715 0.750
3.559 5.407 -2.023



! BaIn2AgIr | Alexandria via LeMat-Bulk | PBE | optimized geometry; values from VASP
! ΔH_f (0 K) in meV/atom: -206
&SYSTEM
  ibrav = 0, nat = 5, ntyp = 4
/
ATOMIC_SPECIES
In 114.82 In.upf
Ag 107.87 Ag.upf
Ba 137.33 Ba.upf
Ir 192.22 Ir.upf
ATOMIC_POSITIONS crystal
In 0.000 0.500 0.000
In 0.500 0.000 0.000
Ag 0.000 0.000 0.500
Ba 0.500 0.500 0.500
Ir 0.000 0.000 0.000
CELL_PARAMETERS angstrom
-0.097 1.785 4.816
-2.331 -4.307 1.549
4.857 -2.289 0.946



! SbMo2Cl | Alexandria via LeMat-Bulk | PBE | optimized geometry; values from VASP
! Polymorph energy (0 for the lowest one) in meV/atom: 828
&SYSTEM
  ibrav = 0, nat = 4, ntyp = 3
/
ATOMIC_SPECIES
Mo 95.94 Mo.upf
Sb 121.76 Sb.upf
Cl 35.45 Cl.upf
ATOMIC_POSITIONS crystal
Mo 0.500 0.500 0.000
Mo 0.000 0.000 0.000
Sb 0.500 0.000 0.500
Cl 0.000 0.500 0.500
CELL_PARAMETERS angstrom
2.963 0.000 0.000
0.000 5.675 0.000
0.000 0.000 4.480



! Sr2CaZn6 | Alexandria via LeMat-Bulk | PBE | optimized geometry; values from VASP
! ΔH_f (0 K) in meV/atom: -243
&SYSTEM
  ibrav = 0, nat = 9, ntyp = 3
/
ATOMIC_SPECIES
Zn 65.41 Zn.upf
Ca 40.08 Ca.upf
Sr 87.62 Sr.upf
ATOMIC_POSITIONS crystal
Zn 0.500 0.000 0.328
Zn 0.500 0.328 0.000
Zn 0.500 0.000 0.672
Zn 0.500 0.672 0.672
Zn 0.500 0.672 0.000
Zn 0.500 0.328 0.328
Ca 0.000 0.000 0.000
Sr 0.000 0.666 0.333
Sr 0.000 0.334 0.667
CELL_PARAMETERS angstrom
3.970 0.116 -0.151
-0.352 6.916 -3.924
0.304 -0.053 7.953



! TcHg2BW | Alexandria via LeMat-Bulk | PBE | optimized geometry; values from VASP
! ΔH_f (0 K) in meV/atom: 1348
&SYSTEM
  ibrav = 0, nat = 5, ntyp = 4
/
ATOMIC_SPECIES
W 183.84 W.upf
Hg 200.59 Hg.upf
Tc 98.00 Tc.upf
B 10.81 B.upf
ATOMIC_POSITIONS crystal
W 0.500 0.500 0.500
Hg 0.500 0.000 0.000
Hg 0.000 0.500 0.000
Tc 0.000 0.000 0.500
B 0.000 0.000 0.000
CELL_PARAMETERS angstrom
4.500 0.000 0.000
0.000 4.500 0.000
0.000 0.000 4.121



no.,density of states at the Fermi level (states/eV/f.u.)
1,4.9
2,1.7
3,1.9
4,4.8
5,6.9
6,5.3